Record 1
Entry from the Alexandria database: crystalline HoIrCl6 at its relaxed geometry (GGA-PBE).

The space group is R-3 (No. 148, hexagonal axes) and the conventional cell measures 6.3033, 6.3033 and 17.1342 Å, with angles of 90.00, 90.00 and 120.00 degrees. Symmetry generates all atoms from Ho at (0.0000, 0.0000, 0.0000), Ir at (0.0000, 0.0000, 0.5000) and Cl at (0.0034, 0.3100, 0.4207).

As for the crystal system: trigonal. The formation energy (no corrections) is -974 kJ/mol of formula units.

---

Record 2
Entry from the Alexandria database: crystalline Cs2AgSBr6 at its relaxed geometry (GGA-PBE).

The space group is Fmmm (No. 69) and the conventional cell measures 10.893, 10.910 and 11.646 Å, with angles of 90.00, 90.00 and 90.00 degrees. Symmetry generates all atoms from Cs at (0.250, 0.250, 0.250), Ag at (0.000, 0.000, 0.000), S at (0.000, 0.000, 0.500), Br at (0.000, 0.000, 0.220), Br at (0.000, 0.231, 0.500) and Br at (0.231, 0.000, 0.500).

As for the crystal system: orthorhombic. The formation energy (no corrections) is -748 kJ/mol of formula units.

---

Record 3
Entry from the Alexandria database: crystalline Al2Si2Au at its relaxed geometry (GGA-PBE).

The space group is P4/mbm (No. 127) and the conventional cell measures 7.758, 7.758 and 2.775 Å, with angles of 90.00, 90.00 and 90.00 degrees. Symmetry generates all atoms from Al at (0.153, 0.347, 0.000), Si at (0.145, 0.645, 0.500) and Au at (0.000, 0.000, 0.000).

As for the crystal system: tetragonal. The formation energy (no corrections) is 92 kJ/mol of formula units.

---

Record 4
Entry from the Alexandria database: crystalline MnAgMoS2 at its relaxed geometry (GGA-PBE).

The space group is P4/mmm (No. 123) and the conventional cell measures 4.614, 4.614 and 5.016 Å, with angles of 90.00, 90.00 and 90.00 degrees. Symmetry generates all atoms from Mn at (0.000, 0.000, 0.000), Ag at (0.500, 0.500, 0.500), Mo at (0.500, 0.500, 0.000) and S at (0.000, 0.500, 0.500).

As for the crystal system: tetragonal. The formation energy (no corrections) is 1029 kJ/mol of formula units.

---

Record 5
Entry from the Alexandria database: crystalline KYbO2 at its relaxed geometry (GGA-PBE).

The space group is R-3m (No. 166, hexagonal axes) and the conventional cell measures 3.5027, 3.5027 and 18.4863 Å, with angles of 90.00, 90.00 and 120.00 degrees. Symmetry generates all atoms from K at (0.0000, 0.0000, 0.0000), Yb at (0.0000, 0.0000, 0.5000) and O at (0.0000, 0.0000, 0.2307).

As for the crystal system: trigonal. The formation energy (no corrections) is -762 kJ/mol of formula units.

---

Record 6
Entry from the Alexandria database: crystalline ThSc5Au6 at its relaxed geometry (GGA-PBE).

The space group is P2/m (No. 10) and the conventional cell measures 4.903, 6.884 and 7.821 Å, with angles of 90.00, 108.38 and 90.00 degrees. Symmetry generates all atoms from Th at (0.000, 0.000, 0.000), Sc at (0.000, 0.500, 0.000), Sc at (0.329, 0.000, 0.657), Sc at (0.337, 0.500, 0.671), Au at (0.173, 0.261, 0.350) and Au at (0.500, 0.273, 0.000).

For the total DFT energy (no corrections), the calculation gives -67.59 eV/cell. As for the crystal system: monoclinic.

---

Record 7
Entry from the Alexandria database: crystalline TcAgP2C at its relaxed geometry (GGA-PBE).

The space group is P4/mmm (No. 123) and the conventional cell measures 4.438, 4.438 and 5.402 Å, with angles of 90.00, 90.00 and 90.00 degrees. Symmetry generates all atoms from Tc at (0.000, 0.000, 0.000), Ag at (0.000, 0.000, 0.500), P at (0.000, 0.500, 0.000) and C at (0.500, 0.500, 0.500).

For the total DFT energy (no corrections), the calculation gives -24.60 eV/cell. As for the crystal system: tetragonal.

---

Record 8
Entry from the Alexandria database: crystalline Ce3Pm2Se8 at its relaxed geometry (GGA-PBE).

The space group is C2/m (No. 12) and the conventional cell measures 14.834, 8.452 and 7.164 Å, with angles of 90.00, 109.99 and 90.00 degrees. Symmetry generates all atoms from Ce at (0.000, 0.000, 0.000), Ce at (0.000, 0.261, 0.500), Pm at (0.237, 0.500, 0.160), Se at (0.113, 0.500, 0.399), Se at (0.117, 0.000, 0.426) and Se at (0.126, 0.232, 0.914).

As for the crystal system: monoclinic. The formation energy (no corrections) is -2183 kJ/mol of formula units.

---

no.,density (g/cm³)
1,4.82
2,4.25
3,6.11
4,5.02
5,6.19
6,10.86
7,4.37
8,5.28